Material: HoCo4B
Method: DFT, PBE-GGA
State: optimized geometry

```
HoCo4B
1.0
4.030 0.000 0.000
0.000 5.487 0.000
-2.015 0.000 6.722
Co B Ho
8 2 2
direct
0.793 0.505 0.586
0.000 0.500 0.000
0.207 0.495 0.414
0.207 0.005 0.414
0.374 0.250 0.748
0.000 0.000 0.000
0.793 0.995 0.586
0.626 0.750 0.252
0.896 0.250 0.792
0.104 0.750 0.208
0.595 0.250 0.190
0.405 0.750 0.810
```

Output
Energy of formation from the pure elements (meV/atom): -147